Entry 1:
# Sm4Ge2N, relaxed, DFT PBE-GGA
data_Sm4Ge2N
_chemical_formula_sum 'Sm8 Ge4 N2'
_cell_length_a 4.739
_cell_length_b 4.739
_cell_length_c 15.585
_cell_angle_alpha 90.00
_cell_angle_beta 90.00
_cell_angle_gamma 90.00
_symmetry_space_group_name_H-M 'I 4/m m m'
_symmetry_Int_Tables_number 139
_symmetry_space_group_name_Hall '-I 4 2'
loop_
_atom_site_label
_atom_site_fract_x
_atom_site_fract_y
_atom_site_fract_z
Sm1 0.000 0.000 0.170
Sm2 0.000 0.500 0.000
Ge1 0.000 0.000 0.362
N1 0.000 0.000 0.000
# ΔE to the lowest computed polymorph	0.014	eV per atom
# total moment	0.00	μB per cell

=====

Entry 2:
# Sm6GeN4, relaxed, DFT PBE-GGA
data_Sm6GeN4
_chemical_formula_sum 'Sm24 Ge4 N16'
_cell_length_a 3.681
_cell_length_b 12.096
_cell_length_c 18.973
_cell_angle_alpha 90.00
_cell_angle_beta 90.00
_cell_angle_gamma 90.00
_symmetry_space_group_name_H-M 'C m c m'
_symmetry_Int_Tables_number 63
_symmetry_space_group_name_Hall '-C 2c 2'
loop_
_atom_site_label
_atom_site_fract_x
_atom_site_fract_y
_atom_site_fract_z
Sm1 0.000 0.000 0.000
Sm2 0.000 0.150 0.250
Sm3 0.000 0.277 0.578
Sm4 0.000 0.459 0.149
Ge1 0.000 0.163 0.750
N1 0.000 0.087 0.122
N2 0.000 0.361 0.039
# E_tot	-7.273	eV/atom
# total moment	3.30	μB per cell

=====

Entry 3:
# Sm6Ge3N, relaxed, DFT PBE-GGA
data_Sm6Ge3N
_chemical_formula_sum 'Sm12 Ge6 N2'
_cell_length_a 6.459
_cell_length_b 7.837
_cell_length_c 11.934
_cell_angle_alpha 90.00
_cell_angle_beta 121.91
_cell_angle_gamma 90.00
_symmetry_space_group_name_H-M 'P 1 21/c 1'
_symmetry_Int_Tables_number 14
loop_
_symmetry_equiv_pos_as_xyz
'x,y,z'
'-x,-y,-z'
'-x,y+1/2,-z+1/2'
'x,-y+1/2,z+1/2'
loop_
_atom_site_label
_atom_site_fract_x
_atom_site_fract_y
_atom_site_fract_z
Sm1 0.097 0.047 0.233
Sm2 0.200 0.709 0.061
Sm3 0.382 0.162 0.060
Ge1 0.313 0.108 0.747
Ge2 0.500 0.000 0.500
N1 0.000 0.000 0.000
# E_tot	-5.837	eV/atom
# total moment	0.00	μB per cell

=====

Entry 4:
# Sm4SnGeN, relaxed, DFT PBE-GGA
data_Sm4SnGeN
_chemical_formula_sum 'Sm16 Sn4 Ge4 N4'
_cell_length_a 6.764
_cell_length_b 15.993
_cell_length_c 6.769
_cell_angle_alpha 90.00
_cell_angle_beta 90.00
_cell_angle_gamma 90.00
_symmetry_space_group_name_H-M 'C m c m'
_symmetry_Int_Tables_number 63
_symmetry_space_group_name_Hall '-C 2c 2'
loop_
_atom_site_label
_atom_site_fract_x
_atom_site_fract_y
_atom_site_fract_z
Sm1 0.000 0.081 0.250
Sm2 0.000 0.411 0.250
Sm3 0.250 0.250 0.000
Sn1 0.000 0.393 0.750
Ge1 0.000 0.114 0.750
N1 0.000 0.246 0.250
# E_tot	-6.012	eV/atom
# total moment	0.00	μB per cell

=====

Entry 5:
# SrSmGeN3, relaxed, DFT PBE-GGA
data_SrSmGeN3
_chemical_formula_sum 'Sr4 Sm4 Ge4 N12'
_cell_length_a 12.965
_cell_length_b 4.030
_cell_length_c 7.264
_cell_angle_alpha 90.00
_cell_angle_beta 105.93
_cell_angle_gamma 90.00
_symmetry_space_group_name_H-M 'C 1 2/m 1'
_symmetry_Int_Tables_number 12
loop_
_symmetry_equiv_pos_as_xyz
'x,y,z'
'-x,-y,-z'
'-x,y,-z'
'x,-y,z'
'x+1/2,y+1/2,z'
'-x+1/2,-y+1/2,-z'
'-x+1/2,y+1/2,-z'
'x+1/2,-y+1/2,z'
loop_
_atom_site_label
_atom_site_fract_x
_atom_site_fract_y
_atom_site_fract_z
Sr1 0.149 0.000 0.073
Sm1 0.150 0.000 0.577
Ge1 0.003 0.500 0.262
N1 0.004 0.000 0.277
N2 0.149 0.500 0.807
N3 0.157 0.500 0.341
# E_tot	-6.600	eV/atom
# total moment	0.00	μB per cell

=====

Entry 6:
# SnGeN2, relaxed, DFT PBE-GGA
data_SnGeN2
_chemical_formula_sum 'Sn4 Ge4 N8'
_cell_length_a 5.706
_cell_length_b 7.809
_cell_length_c 5.152
_cell_angle_alpha 90.00
_cell_angle_beta 90.00
_cell_angle_gamma 90.00
_symmetry_space_group_name_H-M 'I m a 2'
_symmetry_Int_Tables_number 46
loop_
_symmetry_equiv_pos_as_xyz
'x,y,z'
'-x,-y,z'
'-x+1/2,y,z'
'x+1/2,-y,z'
'x+1/2,y+1/2,z+1/2'
'-x+1/2,-y+1/2,z+1/2'
'-x,y+1/2,z+1/2'
'x,-y+1/2,z+1/2'
loop_
_atom_site_label
_atom_site_fract_x
_atom_site_fract_y
_atom_site_fract_z
Sn1 0.250 0.119 0.000
Ge1 0.250 0.632 0.947
N1 0.000 0.000 0.296
N2 0.250 0.646 0.304
# ΔE to the lowest computed polymorph	0.000	eV per atom
# total moment	0.00	μB per cell

=====

Entry 7:
# SnGeN2, relaxed, DFT PBE-GGA
data_SnGeN2
_chemical_formula_sum 'Sn4 Ge4 N8'
_cell_length_a 5.863
_cell_length_b 5.863
_cell_length_c 5.863
_cell_angle_alpha 90.00
_cell_angle_beta 90.00
_cell_angle_gamma 90.00
_symmetry_space_group_name_H-M 'F m -3 m'
_symmetry_Int_Tables_number 225
_symmetry_space_group_name_Hall '-F 4 2 3'
loop_
_atom_site_label
_atom_site_fract_x
_atom_site_fract_y
_atom_site_fract_z
Sn1 0.000 0.000 0.000
Ge1 0.000 0.000 0.500
N1 0.250 0.250 0.250
# ΔE to the lowest computed polymorph	1.170	eV per atom
# total moment	0.00	μB per cell

=====

Entry 8:
# SnGeN, relaxed, DFT PBE-GGA
data_SnGeN
_chemical_formula_sum 'Sn9 Ge9 N9'
_cell_length_a 5.5445
_cell_length_b 5.5445
_cell_length_c 22.4139
_cell_angle_alpha 90.00
_cell_angle_beta 90.00
_cell_angle_gamma 120.00
_symmetry_space_group_name_H-M 'R 3'
_symmetry_Int_Tables_number 146
_symmetry_space_group_name_Hall 'R 3'
loop_
_atom_site_label
_atom_site_fract_x
_atom_site_fract_y
_atom_site_fract_z
Sn1 0.0052 0.3363 0.0000
Ge1 0.0000 0.0000 0.4969
Ge2 0.0000 0.0000 0.7770
Ge3 0.0000 0.0000 0.8879
N1 0.0860 0.7222 0.4988
# E_tot	-5.142	eV/atom
# total moment	0.00	μB per cell